# HoCu6Ni6 (GGA-PBE, relaxed)
# * calculated density: 9.09 Mg/m³
# * calculated volume: 12.6 A^3/atom
# * crystal system: orthorhombic
# * energy of formation: -127 meV per atom
data_HoCu6Ni6
_space_group_name_H-M_alt 'P 1'
_space_group_IT_number 1
_cell_length_a 4.7665
_cell_length_b 6.3321
_cell_length_c 6.3321
_cell_angle_alpha 81.94
_cell_angle_beta 67.89
_cell_angle_gamma 67.89
loop_
_space_group_symop_operation_xyz
'x,y,z'
loop_
_atom_site_label
_atom_site_type_symbol
_atom_site_fract_x
_atom_site_fract_y
_atom_site_fract_z
Cu1 Cu 0.7171 0.7829 0.7829
Cu2 Cu 0.2829 0.2171 0.2171
Cu3 Cu 0.0000 0.3504 0.6496
Cu4 Cu 0.6464 0.3536 0.3536
Cu5 Cu 0.3536 0.6464 0.6464
Cu6 Cu 0.0000 0.6496 0.3504
Ni1 Ni 0.5000 0.5000 0.0000
Ni2 Ni 0.5000 0.2224 0.7776
Ni3 Ni 0.5000 0.0000 0.5000
Ni4 Ni 0.0000 0.0000 0.5000
Ni5 Ni 0.0000 0.5000 0.0000
Ni6 Ni 0.5000 0.7776 0.2224
Ho1 Ho 0.0000 0.0000 0.0000